(1)
# Nd2DyY6Sc3 | Alexandria | GGA-PBE | optimized geometry
# raw total energy: -71.30 eV/cell
# formation energy from the elements: 0.05 eV/atom
# calculated density: 5.1 g cm⁻³
# symmetry: C2/m (12)
data_Nd2DyY6Sc3
_chemical_formula_sum 'Nd2 Dy1 Y6 Sc3'
_cell_length_a 6.107
_cell_length_b 6.107
_cell_length_c 11.570
_cell_angle_alpha 95.05
_cell_angle_beta 95.05
_cell_angle_gamma 119.99
_space_group_name_H-M_alt 'P 1'
_space_group_IT_number 1
loop_
_space_group_symop_operation_xyz
'x,y,z'
loop_
_atom_site_label
_atom_site_fract_x
_atom_site_fract_y
_atom_site_fract_z
_atom_site_occupancy
Nd1 0.167 0.833 0.000 1
Nd2 0.833 0.167 0.000 1
Dy1 0.500 0.500 0.000 1
Y1 0.080 0.413 0.739 1
Y2 0.254 0.254 0.261 1
Y3 0.413 0.080 0.739 1
Y4 0.587 0.920 0.261 1
Y5 0.746 0.746 0.739 1
Y6 0.920 0.587 0.261 1
Sc1 0.000 0.000 0.500 1
Sc2 0.334 0.666 0.500 1
Sc3 0.666 0.334 0.500 1

---

(2)
# NdDyYSc | Alexandria | GGA-PBE | optimized geometry
# raw total energy: -21.73 eV/cell
# formation energy from the elements: 0.11 eV/atom
# calculated density: 5.9 g cm⁻³
# symmetry: Cm (8)
data_NdDyYSc
_chemical_formula_sum 'Nd1 Dy1 Y1 Sc1'
_cell_length_a 6.708
_cell_length_b 6.708
_cell_length_c 3.807
_cell_angle_alpha 106.48
_cell_angle_beta 106.48
_cell_angle_gamma 49.70
_space_group_name_H-M_alt 'P 1'
_space_group_IT_number 1
loop_
_space_group_symop_operation_xyz
'x,y,z'
loop_
_atom_site_label
_atom_site_fract_x
_atom_site_fract_y
_atom_site_fract_z
_atom_site_occupancy
Nd1 0.000 0.000 0.000 1
Dy1 0.544 0.544 0.544 1
Y1 0.277 0.277 0.776 1
Sc1 0.770 0.770 0.270 1